! SmSnPb2S5 (PBE-GGA, relaxed); values from VASP
&SYSTEM
  ibrav = 0, nat = 18, ntyp = 4
/
ATOMIC_SPECIES
Sm 150.36 Sm.upf
Sn 118.71 Sn.upf
Pb 207.20 Pb.upf
S 32.06 S.upf
CELL_PARAMETERS angstrom
2.084 -8.781 0.000
2.084 8.781 0.000
0.000 0.000 12.992
ATOMIC_POSITIONS angstrom
Sm 2.084 4.937 6.496
Sm 2.084 -4.937 0.000
Sn 2.084 0.631 12.241
Sn 2.084 -0.631 5.745
Pb 2.084 6.713 2.096
Pb 2.084 6.504 10.016
Pb 2.084 -6.504 3.520
Pb 2.084 -6.713 8.592
S 2.084 7.753 7.263
S 2.084 3.893 1.924
S 2.084 3.125 11.252
S 2.084 2.196 6.615
S 2.084 0.282 3.375
S 2.084 -0.282 9.871
S 2.084 -2.196 0.119
S 2.084 -3.125 4.756
S 2.084 -3.893 8.420
S 2.084 -7.753 0.767
! space-group type: No. 36
! magnetization: 0.00 μB per cell
! total DFT energy (no corrections): -88.59 eV per cell



! Sr2SmPbS4 (PBE-GGA, relaxed); values from VASP
&SYSTEM
  ibrav = 0, nat = 8, ntyp = 4
/
ATOMIC_SPECIES
Sr 87.62 Sr.upf
Sm 150.36 Sm.upf
Pb 207.20 Pb.upf
S 32.06 S.upf
CELL_PARAMETERS angstrom
7.262 0.000 0.000
0.000 4.175 0.000
-2.423 0.000 6.908
ATOMIC_POSITIONS angstrom
Sr 0.000 0.000 0.000
Sr -1.211 2.088 3.454
Sm 2.420 0.000 3.454
Pb 3.631 2.088 0.000
S 0.068 0.000 5.127
S 1.263 2.088 1.803
S 3.577 2.088 5.105
S 4.772 0.000 1.781
! space-group type: No. 10
! magnetization: 0.00 μB per cell
! total DFT energy (no corrections): -41.51 eV per cell



! Tb4SmPbS8 (PBE-GGA, relaxed); values from VASP
&SYSTEM
  ibrav = 0, nat = 14, ntyp = 4
/
ATOMIC_SPECIES
Tb 158.93 Tb.upf
Sm 150.36 Sm.upf
Pb 207.20 Pb.upf
S 32.06 S.upf
CELL_PARAMETERS angstrom
4.089 2.361 6.747
-4.089 2.361 6.747
0.000 -4.722 6.747
ATOMIC_POSITIONS angstrom
Tb 0.000 0.000 0.000
Tb 0.000 -2.327 10.942
Tb -2.015 1.163 10.942
Tb 2.015 1.163 10.942
Sm 0.000 0.000 7.624
Pb 0.000 0.000 15.153
S 0.000 -2.232 5.820
S -1.933 1.116 5.820
S 0.000 0.000 2.679
S -1.848 -1.067 9.392
S 1.933 1.116 5.819
S 0.000 0.000 12.355
S 1.848 -1.067 9.392
S 0.000 2.134 9.392
! space-group type: No. 160
! magnetization: 0.00 μB per cell
! total DFT energy (no corrections): -84.70 eV per cell



! Sm6Te3PbS2 (PBE-GGA, relaxed); values from VASP
&SYSTEM
  ibrav = 0, nat = 12, ntyp = 4
/
ATOMIC_SPECIES
Sm 150.36 Sm.upf
Te 127.60 Te.upf
Pb 207.20 Pb.upf
S 32.06 S.upf
CELL_PARAMETERS angstrom
9.498 -2.141 0.000
9.498 2.141 0.000
-2.232 0.000 8.438
ATOMIC_POSITIONS angstrom
Sm -0.286 0.000 2.163
Sm 5.157 0.000 3.691
Sm 4.304 0.000 7.457
Sm 12.460 0.000 0.981
Sm 11.607 0.000 4.747
Sm 17.050 0.000 6.275
Te 1.213 0.000 7.011
Te 8.382 0.000 4.219
Te 15.551 0.000 1.427
Pb 9.498 0.000 0.000
S 2.466 0.000 2.845
S 14.298 0.000 5.593
! space-group type: No. 12
! magnetization: 0.00 μB per cell
! total DFT energy (no corrections): -67.17 eV per cell



! Sm4TePbS2 (PBE-GGA, relaxed); values from VASP
&SYSTEM
  ibrav = 0, nat = 8, ntyp = 4
/
ATOMIC_SPECIES
Sm 150.36 Sm.upf
Te 127.60 Te.upf
Pb 207.20 Pb.upf
S 32.06 S.upf
CELL_PARAMETERS angstrom
7.350 0.000 0.000
0.000 4.125 0.000
-2.358 0.000 7.153
ATOMIC_POSITIONS angstrom
Sm 1.218 0.000 1.531
Sm 0.080 2.063 5.619
Sm 4.911 2.063 1.534
Sm 3.774 0.000 5.622
Te 2.496 2.063 3.576
Pb -1.179 0.000 3.576
S 0.000 2.063 0.000
S 3.675 0.000 0.000
! space-group type: No. 10
! magnetization: 0.00 μB per cell
! total DFT energy (no corrections): -45.74 eV per cell



! SmTlPb2S4 (PBE-GGA, relaxed); values from VASP
&SYSTEM
  ibrav = 0, nat = 8, ntyp = 4
/
ATOMIC_SPECIES
Sm 150.36 Sm.upf
Tl 204.38 Tl.upf
Pb 207.20 Pb.upf
S 32.06 S.upf
CELL_PARAMETERS angstrom
7.245 0.000 0.000
0.000 4.211 0.000
-2.364 0.000 7.050
ATOMIC_POSITIONS angstrom
Sm 0.000 0.000 0.000
Tl -1.182 2.105 3.525
Pb 2.441 0.000 3.525
Pb 3.622 2.105 0.000
S 1.179 2.105 1.600
S -0.024 0.000 5.462
S 4.905 0.000 1.588
S 3.702 2.105 5.450
! space-group type: No. 10
! magnetization: 0.00 μB per cell
! total DFT energy (no corrections): -38.42 eV per cell



! SmTm4PbS8 (PBE-GGA, relaxed); values from VASP
&SYSTEM
  ibrav = 0, nat = 14, ntyp = 4
/
ATOMIC_SPECIES
Sm 150.36 Sm.upf
Tm 168.93 Tm.upf
Pb 207.20 Pb.upf
S 32.06 S.upf
CELL_PARAMETERS angstrom
4.019 2.321 6.715
-4.019 2.321 6.715
0.000 -4.641 6.715
ATOMIC_POSITIONS angstrom
Sm 0.000 0.000 0.000
Tm -2.037 -1.176 16.730
Tm 0.000 0.000 12.567
Tm 2.037 -1.176 16.730
Tm 0.000 2.352 16.730
Pb 0.000 0.000 7.468
S -2.100 -1.212 11.607
S 0.000 0.000 4.667
S 0.000 -2.539 8.514
S -2.199 1.269 8.514
S 2.100 -1.212 11.607
S 0.000 2.424 11.607
S 0.000 0.000 15.224
S 2.199 1.269 8.514
! space-group type: No. 160
! magnetization: 0.00 μB per cell
! total DFT energy (no corrections): -83.87 eV per cell



! SmYPbS (PBE-GGA, relaxed); values from VASP
&SYSTEM
  ibrav = 0, nat = 4, ntyp = 4
/
ATOMIC_SPECIES
Sm 150.36 Sm.upf
Y 88.91 Y.upf
Pb 207.20 Pb.upf
S 32.06 S.upf
CELL_PARAMETERS angstrom
3.845 0.000 0.000
1.909 3.340 0.000
1.912 1.110 8.234
ATOMIC_POSITIONS angstrom
Sm 0.000 0.000 0.000
Y 1.913 1.105 3.237
Pb 3.835 2.216 5.718
S 3.833 2.223 1.659
! space-group type: No. 1
! magnetization: 0.00 μB per cell
! total DFT energy (no corrections): -23.95 eV per cell